(1)
Compound: Tb6Pm3TmTh2
Source: the Alexandria database
Functional: PBE-GGA
Structure: relaxed

Unit cell a=6.204 b=10.737 c=11.849 alpha=90.00 beta=100.07 gamma=90.00
Space group C2/m (No. 12)
One atom of each set of equivalent atoms:
Tb 0.245 0.000 0.246 (multiplicity 4)
Tb 0.250 0.168 0.755 (multiplicity 8)
Pm 0.000 0.000 0.500 (multiplicity 2)
Pm 0.000 0.333 0.500 (multiplicity 4)
Tm 0.000 0.500 0.000 (multiplicity 2)
Th 0.000 0.166 0.000 (multiplicity 4)

DOS(E_F)	32.41	states/eV per cell
total energy	-5.092	eV per atom
total magnetic moment	0.000	μB per formula unit
formation energy	0.020	eV per atom

=====

(2)
Compound: CdRePd3
Source: the Alexandria database
Functional: PBE-GGA
Structure: relaxed

Unit cell a=4.872 b=4.872 c=4.872 alpha=90.00 beta=90.00 gamma=90.00
Space group Pm-3m (No. 221)
One atom of each set of equivalent atoms:
Cd 0.000 0.000 0.000 (multiplicity 1)
Re 0.500 0.500 0.500 (multiplicity 1)
Pd 0.000 0.000 0.500 (multiplicity 3)

DOS(E_F)	2.08	states/eV per cell
total energy	-4.131	eV per atom
energy above the lowest structure with this stoichiometry	592	meV/atom
total magnetic moment	4.866	μB per formula unit
formation energy	1.657	eV per atom

=====

- What is the formula in the second record?
  CdRePd3